# Sm4FeSe6O (GGA+U, optimized geometry)
# Mass density ... 6.91 g/cm³
# SG ... P6_3mc, No. 186
# Crystal system ... hexagonal
# Uncorrected energy ... -5.99 eV per atom
data_Sm4FeSe6O
_chemical_formula_sum 'Sm8 Fe2 Se12 O2'
_cell_length_a 9.556
_cell_length_b 9.556
_cell_length_c 6.970
_cell_angle_alpha 90.00
_cell_angle_beta 90.00
_cell_angle_gamma 120.00
_space_group_name_H-M_alt 'P 1'
_space_group_IT_number 1
loop_
_space_group_symop_operation_xyz
'x,y,z'
loop_
_atom_site_label
_atom_site_type_symbol
_atom_site_fract_x
_atom_site_fract_y
_atom_site_fract_z
_atom_site_occupancy
Sm1 Sm 0.201 0.401 0.000 1
Sm2 Sm 0.201 0.799 0.000 1
Sm3 Sm 0.333 0.667 0.549 1
Sm4 Sm 0.401 0.201 0.500 1
Sm5 Sm 0.599 0.799 0.000 1
Sm6 Sm 0.667 0.333 0.049 1
Sm7 Sm 0.799 0.201 0.500 1
Sm8 Sm 0.799 0.599 0.500 1
Fe1 Fe 0.000 0.000 0.337 1
Fe2 Fe 0.000 0.000 0.837 1
Se1 Se 0.063 0.531 0.286 1
Se2 Se 0.126 0.252 0.607 1
Se3 Se 0.126 0.874 0.607 1
Se4 Se 0.252 0.126 0.107 1
Se5 Se 0.469 0.531 0.286 1
Se6 Se 0.469 0.937 0.286 1
Se7 Se 0.531 0.063 0.786 1
Se8 Se 0.531 0.469 0.786 1
Se9 Se 0.748 0.874 0.607 1
Se10 Se 0.874 0.126 0.107 1
Se11 Se 0.874 0.748 0.107 1
Se12 Se 0.937 0.469 0.786 1
O1 O 0.333 0.667 0.882 1
O2 O 0.667 0.333 0.382 1